[1]
Crystalline Rb8BiSb2 at its relaxed geometry, computed with PBE.

a b c (Å): 11.214 11.214 9.019
angles (deg): 111.46 111.46 32.11
Atoms (fractional coordinates):
Rb 0.022 0.022 0.270
Rb 0.197 0.197 0.781
Rb 0.332 0.332 0.563
Rb 0.389 0.389 0.061
Rb 0.611 0.611 0.939
Rb 0.668 0.668 0.437
Rb 0.803 0.803 0.219
Rb 0.978 0.978 0.730
Bi 0.500 0.500 0.500
Sb 0.179 0.179 0.177
Sb 0.821 0.821 0.823

Summary:
Magnetic moment   1.23 μB/f.u.
Volume   50.68 A^3/atom
Formation energy without anion corrections   -0.32 eV/atom
Uncorrected energy   -2.127 eV/atom

[2]
Crystalline Li2HgRu at its relaxed geometry, computed with PBE.

a b c (Å): 3.963 3.963 3.853
angles (deg): 90.00 90.00 90.00
Atoms (fractional coordinates):
Li 0.000 0.500 0.000
Li 0.500 0.000 0.000
Hg 0.000 0.000 0.500
Ru 0.500 0.500 0.500

Summary:
Energy relative to the elements   100 meV per atom
Magnetic moment   0.37 μB/f.u.
Volume   15.13 A^3/atom
Uncorrected energy   -3.251 eV/atom

[3]
Crystalline PrSm2TmIn4 at its relaxed geometry, computed with PBE.

a b c (Å): 9.388 9.388 9.388
angles (deg): 33.41 33.41 33.41
Atoms (fractional coordinates):
Pr 0.000 0.000 0.000
Sm 0.249 0.249 0.249
Sm 0.751 0.751 0.751
Tm 0.500 0.500 0.500
In 0.127 0.127 0.127
In 0.377 0.377 0.377
In 0.623 0.623 0.623
In 0.873 0.873 0.873

Summary:
Energy relative to the elements   -470 meV per atom
Magnetic moment   0.00 μB/f.u.
Volume   27.93 A^3/atom
Uncorrected energy   -4.175 eV/atom

[4]
Crystalline PuThH at its relaxed geometry, computed with PBE.

a b c (Å): 3.345 3.345 11.346
angles (deg): 90.00 90.00 90.00
Atoms (fractional coordinates):
Pu 0.000 0.000 0.000
Pu 0.500 0.500 0.500
Th 0.000 0.000 0.732
Th 0.500 0.500 0.232
H 0.000 0.000 0.528
H 0.500 0.500 0.028

Summary:
Energy above the most stable polymorph in this dataset   8.1 kJ per mole of atoms
Magnetic moment   6.07 μB/f.u.
Volume   21.16 A^3/atom
Uncorrected energy   -8.317 eV/atom

[5]
Crystalline Tb2ErZn at its relaxed geometry, computed with PBE.

a b c (Å): 7.529 7.529 7.529
angles (deg): 90.00 90.00 90.00
Atoms (fractional coordinates):
Tb 0.250 0.250 0.250
Tb 0.250 0.250 0.750
Tb 0.250 0.750 0.250
Tb 0.250 0.750 0.750
Tb 0.750 0.250 0.250
Tb 0.750 0.250 0.750
Tb 0.750 0.750 0.250
Tb 0.750 0.750 0.750
Er 0.000 0.000 0.000
Er 0.000 0.500 0.500
Er 0.500 0.000 0.500
Er 0.500 0.500 0.000
Zn 0.000 0.000 0.500
Zn 0.000 0.500 0.000
Zn 0.500 0.000 0.000
Zn 0.500 0.500 0.500

Summary:
Energy relative to the elements   37 meV per atom
Energy above the most stable polymorph in this dataset   18.7 kJ per mole of atoms
Magnetic moment   0.00 μB/f.u.
Volume   26.68 A^3/atom
Uncorrected energy   -3.738 eV/atom

[6]
Crystalline Cs2NaSmI6 at its relaxed geometry, computed with PBE.

a b c (Å): 8.831 12.486 8.831
angles (deg): 90.00 90.00 90.00
Atoms (fractional coordinates):
Cs 0.250 0.000 0.249
Cs 0.250 0.500 0.249
Cs 0.750 0.000 0.751
Cs 0.750 0.500 0.751
Na 0.250 0.250 0.749
Na 0.750 0.750 0.251
Sm 0.250 0.750 0.751
Sm 0.750 0.250 0.249
I 0.003 0.750 0.505
I 0.004 0.750 0.998
I 0.250 0.504 0.751
I 0.250 0.996 0.751
I 0.496 0.750 0.998
I 0.497 0.750 0.505
I 0.503 0.250 0.495
I 0.504 0.250 0.002
I 0.750 0.004 0.249
I 0.750 0.496 0.249
I 0.996 0.250 0.002
I 0.997 0.250 0.495

Summary:
Magnetic moment   0.00 μB/f.u.
Volume   48.69 A^3/atom
Formation energy without anion corrections   -1.45 eV/atom
Uncorrected energy   -3.157 eV/atom

[7]
Crystalline TaSbTe2Br at its relaxed geometry, computed with PBE.

a b c (Å): 5.453 5.453 5.327
angles (deg): 90.00 90.00 90.00
Atoms (fractional coordinates):
Ta 0.000 0.000 0.000
Sb 0.500 0.500 0.000
Te 0.000 0.500 0.500
Te 0.500 0.000 0.500
Br 0.500 0.500 0.500

Summary:
Energy above the most stable polymorph in this dataset   136.2 kJ per mole of atoms
Magnetic moment   1.53 μB/f.u.
Volume   31.68 A^3/atom
Formation energy without anion corrections   1.55 eV/atom
Uncorrected energy   -3.239 eV/atom

[8]
Crystalline PmTmIn2Te4 at its relaxed geometry, computed with PBE.

a b c (Å): 7.689 4.435 8.499
angles (deg): 90.00 107.49 90.00
Atoms (fractional coordinates):
Pm 0.000 0.000 0.000
Tm 0.500 0.500 0.000
In 0.000 0.500 0.500
In 0.500 0.000 0.500
Te 0.249 0.500 0.223
Te 0.269 0.000 0.782
Te 0.731 0.000 0.218
Te 0.751 0.500 0.777

Summary:
Magnetic moment   0.00 μB/f.u.
Volume   34.55 A^3/atom
Formation energy without anion corrections   -0.96 eV/atom
Uncorrected energy   -4.373 eV/atom

[9]
Crystalline Mo3As5 at its relaxed geometry, computed with PBE.

a b c (Å): 7.642 7.642 5.503
angles (deg): 90.00 90.00 120.00
Atoms (fractional coordinates):
Mo 0.000 0.393 0.250
Mo 0.000 0.607 0.750
Mo 0.393 0.000 0.250
Mo 0.393 0.393 0.750
Mo 0.607 0.000 0.750
Mo 0.607 0.607 0.250
As 0.000 0.262 0.750
As 0.000 0.738 0.250
As 0.262 0.000 0.750
As 0.262 0.262 0.250
As 0.333 0.667 0.000
As 0.333 0.667 0.500
As 0.667 0.333 0.000
As 0.667 0.333 0.500
As 0.738 0.000 0.250
As 0.738 0.738 0.750

Summary:
Energy relative to the elements   260 meV per atom
Energy above the most stable polymorph in this dataset   19.9 kJ per mole of atoms
Magnetic moment   0.00 μB/f.u.
Volume   17.40 A^3/atom
Uncorrected energy   -6.708 eV/atom

[10]
Crystalline Zr6Te2Ru at its relaxed geometry, computed with PBE.

a b c (Å): 7.906 7.906 3.625
angles (deg): 90.00 90.00 120.00
Atoms (fractional coordinates):
Zr 0.000 0.405 0.000
Zr 0.000 0.751 0.500
Zr 0.249 0.249 0.500
Zr 0.405 0.000 0.000
Zr 0.595 0.595 0.000
Zr 0.751 0.000 0.500
Te 0.333 0.667 0.500
Te 0.667 0.333 0.500
Ru 0.000 0.000 0.000

Summary:
Magnetic moment   0.00 μB/f.u.
Volume   21.80 A^3/atom
Formation energy without anion corrections   -0.58 eV/atom
Uncorrected energy   -8.008 eV/atom

[11]
Crystalline BaPtCl3 at its relaxed geometry, computed with PBE.

a b c (Å): 5.069 5.069 5.069
angles (deg): 90.00 90.00 90.00
Atoms (fractional coordinates):
Ba 0.000 0.000 0.000
Pt 0.500 0.500 0.500
Cl 0.000 0.500 0.500
Cl 0.500 0.000 0.500
Cl 0.500 0.500 0.000

Summary:
Energy above the most stable polymorph in this dataset   0.0 kJ per mole of atoms
Magnetic moment   0.00 μB/f.u.
Volume   26.05 A^3/atom
Formation energy without anion corrections   -1.20 eV/atom
Uncorrected energy   -3.897 eV/atom

[12]
Crystalline YMg2ZnSn2 at its relaxed geometry, computed with PBE.

a b c (Å): 4.446 8.716 7.365
angles (deg): 90.00 90.00 90.00
Atoms (fractional coordinates):
Y 0.000 0.055 0.000
Y 0.000 0.945 0.500
Mg 0.000 0.330 0.381
Mg 0.000 0.670 0.881
Mg 0.500 0.428 0.062
Mg 0.500 0.572 0.562
Zn 0.500 0.182 0.673
Zn 0.500 0.818 0.173
Sn 0.000 0.354 0.775
Sn 0.000 0.646 0.275
Sn 0.500 0.134 0.285
Sn 0.500 0.866 0.785

Summary:
Energy relative to the elements   -323 meV per atom
Magnetic moment   0.00 μB/f.u.
Volume   23.79 A^3/atom
Uncorrected energy   -3.478 eV/atom

[13]
Crystalline TlInGa2 at its relaxed geometry, computed with PBE.

a b c (Å): 4.648 4.648 16.421
angles (deg): 90.00 90.00 120.00
Atoms (fractional coordinates):
Tl 0.000 0.000 0.000
Tl 0.333 0.667 0.667
Tl 0.667 0.333 0.333
In 0.000 0.000 0.500
In 0.333 0.667 0.167
In 0.667 0.333 0.833
Ga 0.000 0.000 0.235
Ga 0.000 0.000 0.765
Ga 0.333 0.667 0.432
Ga 0.333 0.667 0.902
Ga 0.667 0.333 0.098
Ga 0.667 0.333 0.568

Summary:
Energy relative to the elements   110 meV per atom
Energy above the most stable polymorph in this dataset   8.4 kJ per mole of atoms
Magnetic moment   0.00 μB/f.u.
Volume   25.60 A^3/atom
Uncorrected energy   -2.679 eV/atom

[14]
Crystalline Ac6Te2Ir3Br at its relaxed geometry, computed with PBE.

a b c (Å): 10.479 10.479 9.491
angles (deg): 109.13 109.13 24.28
Atoms (fractional coordinates):
Ac 0.011 0.011 0.222
Ac 0.322 0.322 0.442
Ac 0.343 0.343 0.894
Ac 0.657 0.657 0.106
Ac 0.678 0.678 0.558
Ac 0.989 0.989 0.778
Te 0.164 0.164 0.827
Te 0.836 0.836 0.173
Ir 0.166 0.166 0.333
Ir 0.500 0.500 0.000
Ir 0.834 0.834 0.667
Br 0.500 0.500 0.500

Summary:
Magnetic moment   0.00 μB/f.u.
Volume   33.65 A^3/atom
Formation energy without anion corrections   -1.14 eV/atom
Uncorrected energy   -6.068 eV/atom

[15]
Crystalline PrYHo2S6 at its relaxed geometry, computed with PBE.

a b c (Å): 7.383 7.383 7.383
angles (deg): 56.47 56.47 56.47
Atoms (fractional coordinates):
Pr 0.000 0.000 0.000
Y 0.493 0.493 0.493
Ho 0.291 0.291 0.291
Ho 0.795 0.795 0.795
S 0.085 0.672 0.416
S 0.191 0.584 0.897
S 0.416 0.085 0.672
S 0.583 0.897 0.191
S 0.672 0.416 0.085
S 0.897 0.191 0.584

Summary:
Magnetic moment   0.00 μB/f.u.
Volume   26.14 A^3/atom
Formation energy without anion corrections   -2.05 eV/atom
Uncorrected energy   -6.562 eV/atom

[16]
Crystalline PmErThSn at its relaxed geometry, computed with PBE.

a b c (Å): 7.802 7.802 7.802
angles (deg): 90.00 90.00 90.00
Atoms (fractional coordinates):
Pm 0.000 0.000 0.000
Pm 0.000 0.500 0.500
Pm 0.500 0.000 0.500
Pm 0.500 0.500 0.000
Er 0.250 0.250 0.250
Er 0.250 0.750 0.750
Er 0.750 0.250 0.750
Er 0.750 0.750 0.250
Th 0.000 0.000 0.500
Th 0.000 0.500 0.000
Th 0.500 0.000 0.000
Th 0.500 0.500 0.500
Sn 0.250 0.250 0.750
Sn 0.250 0.750 0.250
Sn 0.750 0.250 0.250
Sn 0.750 0.750 0.750

Summary:
Energy relative to the elements   -162 meV per atom
Magnetic moment   0.00 μB/f.u.
Volume   29.68 A^3/atom
Uncorrected energy   -5.346 eV/atom

[17]
Crystalline Ba2ScCd at its relaxed geometry, computed with PBE.

a b c (Å): 14.062 3.998 6.129
angles (deg): 90.00 115.82 90.00
Atoms (fractional coordinates):
Ba 0.000 0.000 0.000
Ba 0.204 0.000 0.704
Ba 0.500 0.500 0.000
Ba 0.704 0.500 0.704
Sc 0.422 0.000 0.422
Sc 0.922 0.500 0.422
Cd 0.247 0.500 0.246
Cd 0.747 0.000 0.246

Summary:
Energy relative to the elements   42 meV per atom
Magnetic moment   0.00 μB/f.u.
Volume   38.77 A^3/atom
Uncorrected energy   -2.731 eV/atom

[18]
Crystalline TbPrTh at its relaxed geometry, computed with PBE.

a b c (Å): 3.621 3.621 15.346
angles (deg): 90.00 90.00 90.00
Atoms (fractional coordinates):
Tb 0.250 0.250 0.240
Tb 0.750 0.750 0.760
Pr 0.250 0.250 0.587
Pr 0.750 0.750 0.413
Th 0.250 0.250 0.921
Th 0.750 0.750 0.079

Summary:
Energy relative to the elements   23 meV per atom
Energy above the most stable polymorph in this dataset   0.0 kJ per mole of atoms
Magnetic moment   0.00 μB/f.u.
Volume   33.53 A^3/atom
Uncorrected energy   -5.587 eV/atom

[19]
Crystalline HoZn12Ag6 at its relaxed geometry, computed with PBE.

a b c (Å): 7.288 7.288 7.288
angles (deg): 104.77 104.77 104.77
Atoms (fractional coordinates):
Ho 0.000 0.000 0.000
Zn 0.108 0.500 0.892
Zn 0.108 0.892 0.500
Zn 0.125 0.369 0.369
Zn 0.369 0.125 0.369
Zn 0.369 0.369 0.125
Zn 0.500 0.108 0.892
Zn 0.500 0.892 0.108
Zn 0.631 0.631 0.875
Zn 0.631 0.875 0.631
Zn 0.875 0.631 0.631
Zn 0.892 0.108 0.500
Zn 0.892 0.500 0.108
Ag 0.290 0.703 0.703
Ag 0.297 0.297 0.710
Ag 0.297 0.710 0.297
Ag 0.703 0.290 0.703
Ag 0.703 0.703 0.290
Ag 0.710 0.297 0.297

Summary:
Energy relative to the elements   4 meV per atom
Magnetic moment   0.00 μB/f.u.
Volume   17.90 A^3/atom
Uncorrected energy   -1.942 eV/atom

[20]
Crystalline UTcH at its relaxed geometry, computed with PBE.

a b c (Å): 2.953 5.527 5.273
angles (deg): 90.00 117.87 90.00
Atoms (fractional coordinates):
U 0.000 0.096 0.000
U 0.000 0.904 0.500
Tc 0.447 0.402 0.608
Tc 0.447 0.598 0.108
H 0.747 0.313 0.352
H 0.747 0.687 0.852

Summary:
Energy above the most stable polymorph in this dataset   0.0 kJ per mole of atoms
Magnetic moment   0.00 μB/f.u.
Volume   12.68 A^3/atom
Uncorrected energy   -8.334 eV/atom

[21]
Crystalline InHN2 at its relaxed geometry, computed with PBE.

a b c (Å): 3.480 3.480 13.528
angles (deg): 90.00 90.00 120.00
Atoms (fractional coordinates):
In 0.000 0.000 0.000
In 0.333 0.667 0.667
In 0.667 0.333 0.333
H 0.000 0.000 0.500
H 0.333 0.667 0.167
H 0.667 0.333 0.833
N 0.000 0.000 0.409
N 0.000 0.000 0.591
N 0.333 0.667 0.076
N 0.333 0.667 0.257
N 0.667 0.333 0.743
N 0.667 0.333 0.924

Summary:
Energy above the most stable polymorph in this dataset   0.0 kJ per mole of atoms
Magnetic moment   0.00 μB/f.u.
Volume   11.82 A^3/atom
Uncorrected energy   -4.871 eV/atom

[22]
Crystalline SrPr2HoSe4 at its relaxed geometry, computed with PBE.

a b c (Å): 7.332 4.208 7.420
angles (deg): 90.00 108.88 90.00
Atoms (fractional coordinates):
Sr 0.000 0.000 0.000
Pr 0.000 0.500 0.500
Pr 0.500 0.000 0.500
Ho 0.500 0.500 0.000
Se 0.259 0.500 0.245
Se 0.263 0.000 0.763
Se 0.737 0.000 0.237
Se 0.741 0.500 0.755

Summary:
Magnetic moment   0.00 μB/f.u.
Volume   27.08 A^3/atom
Formation energy without anion corrections   -1.84 eV/atom
Uncorrected energy   -5.556 eV/atom

[23]
Crystalline TiNiGeBr2 at its relaxed geometry, computed with PBE.

a b c (Å): 5.433 5.433 4.466
angles (deg): 90.00 90.00 90.00
Atoms (fractional coordinates):
Ti 0.000 0.000 0.000
Ni 0.500 0.500 0.000
Ge 0.500 0.500 0.500
Br 0.000 0.500 0.500
Br 0.500 0.000 0.500

Summary:
Magnetic moment   2.10 μB/f.u.
Volume   26.37 A^3/atom
Formation energy without anion corrections   0.58 eV/atom
Uncorrected energy   -3.749 eV/atom

[24]
Crystalline Pu2Te4Pb at its relaxed geometry, computed with PBE.

a b c (Å): 7.510 7.510 15.419
angles (deg): 90.00 90.00 145.61
Atoms (fractional coordinates):
Pu 0.135 0.865 0.566
Pu 0.135 0.865 0.934
Pu 0.865 0.135 0.066
Pu 0.865 0.135 0.434
Te 0.050 0.950 0.750
Te 0.226 0.774 0.118
Te 0.226 0.774 0.382
Te 0.500 0.500 0.000
Te 0.500 0.500 0.500
Te 0.774 0.226 0.618
Te 0.774 0.226 0.882
Te 0.950 0.050 0.250
Pb 0.391 0.609 0.750
Pb 0.609 0.391 0.250

Summary:
Magnetic moment   10.00 μB/f.u.
Volume   35.08 A^3/atom
Formation energy without anion corrections   -0.77 eV/atom
Uncorrected energy   -7.187 eV/atom